The following is a DFT calculation (PBE) of an optimized crystal structure of Ca4ZrIr.

a b c (Å): 6.176 6.176 6.176
angles (deg): 60.00 60.00 60.00
Last column: magnetic moment on the atom in μB.
Fractional coordinates of all 6 atoms:
Ca: 0.375 0.874 0.375  0.09
Ca: 0.874 0.375 0.375  0.09
Ca: 0.375 0.375 0.874  0.09
Ca: 0.375 0.375 0.375  0.09
Zr: 0.000 0.000 0.000  1.14
Ir: 0.750 0.750 0.750  -0.01

## Properties
Total energy in eV/atom: -3.333
DFT formation energy in eV per atom: 0.903
Crystal system: cubic

=====

The following is a DFT calculation (PBE) of an optimized crystal structure of NdEuTlCu.

a b c (Å): 5.377 5.377 5.377
angles (deg): 60.00 60.00 60.00
Last column: magnetic moment on the atom in μB.
Fractional coordinates of all 4 atoms:
Eu: 0.000 0.000 0.000  6.81
Tl: 0.750 0.750 0.750  0.00
Nd: 0.500 0.500 0.500  -0.01
Cu: 0.250 0.250 0.250  -0.01

## Properties
Total energy in eV/atom: -5.576
DFT formation energy in eV per atom: -0.200
Crystal system: cubic

=====

The following is a DFT calculation (PBE) of an optimized crystal structure of MnZnCo2.

a b c (Å): 8.544 8.544 8.544
angles (deg): 17.07 17.07 17.07
Last column: magnetic moment on the atom in μB.
Fractional coordinates of all 4 atoms:
Co: 0.996 0.996 0.996  1.53
Co: 0.252 0.252 0.252  1.57
Mn: 0.503 0.503 0.503  1.71
Zn: 0.749 0.749 0.749  -0.03

## Properties
Total energy in eV/atom: -6.058
DFT formation energy in eV per atom: 0.106
Crystal system: trigonal

=====

The following is a DFT calculation (PBE) of an optimized crystal structure of Ta2CoAs.

a b c (Å): 3.281 3.281 5.802
angles (deg): 90.00 90.00 90.00
Last column: magnetic moment on the atom in μB.
Fractional coordinates of all 4 atoms:
As: 0.500 0.500 0.250  0.01
Co: 0.500 0.500 0.750  1.14
Ta: 0.000 0.000 0.996  0.03
Ta: 0.000 0.000 0.504  0.03

## Properties
Total energy in eV/atom: -8.909
DFT formation energy in eV per atom: -0.044
Crystal system: tetragonal

=====

The following is a DFT calculation (PBE) of an optimized crystal structure of LiAcEuRu.

a b c (Å): 5.214 5.214 5.214
angles (deg): 60.00 60.00 60.00
Last column: magnetic moment on the atom in μB.
Fractional coordinates of all 4 atoms:
Eu: 0.500 0.500 0.500  6.80
Ru: 0.750 0.750 0.750  -0.23
Ac: 0.000 0.000 0.000  0.04
Li: 0.250 0.250 0.250  0.03

## Properties
Total energy in eV/atom: -6.371
DFT formation energy in eV per atom: 0.022
Crystal system: cubic

=====

The following is a DFT calculation (PBE) of an optimized crystal structure of ReMoAs2.

a b c (Å): 4.686 4.686 4.653
angles (deg): 73.46 73.46 39.44
Fractional coordinates of all 4 atoms:
Re: 0.251 0.251 0.180
Mo: 0.500 0.500 0.568
As: 0.991 0.991 0.048
As: 0.758 0.758 0.704

## Properties
Total energy in eV/atom: -8.094
DFT formation energy in eV per atom: 0.051
Energy above the lowest structure with this stoichiometry in meV/atom: 7
Crystal system: monoclinic

=====

The following is a DFT calculation (PBE) of an optimized crystal structure of HoNpP2.

a b c (Å): 3.855 3.855 7.325
angles (deg): 74.74 74.74 60.00
Last column: magnetic moment on the atom in μB.
Fractional coordinates of all 4 atoms:
Ho: 0.669 0.669 0.992  0.04
Np: 0.498 0.498 0.506  3.69
P: 0.082 0.082 0.754  -0.08
P: 0.251 0.251 0.248  -0.10

## Properties
Total energy in eV/atom: -8.157
DFT formation energy in eV per atom: -1.072
Energy above the lowest structure with this stoichiometry in meV/atom: 169
Crystal system: trigonal

=====

The following is a DFT calculation (PBE) of an optimized crystal structure of Nd2Dy3Tm6.

a b c (Å): 6.062 6.068 11.614
angles (deg): 84.98 79.91 60.03
Fractional coordinates of all 11 atoms:
Nd: 0.167 0.667 0.500
Nd: 0.833 0.333 0.500
Dy: 0.000 0.000 0.000
Dy: 0.335 0.330 0.000
Dy: 0.665 0.670 0.000
Tm: 0.416 0.667 0.753
Tm: 0.749 0.000 0.753
Tm: 0.082 0.333 0.753
Tm: 0.251 0.000 0.247
Tm: 0.584 0.333 0.247
Tm: 0.918 0.667 0.247

## Properties
Total energy in eV/atom: -4.373
DFT formation energy in eV per atom: 0.188
Energy above the lowest structure with this stoichiometry in meV/atom: 0
Crystal system: monoclinic

=====

The following is a DFT calculation (PBE) of an optimized crystal structure of Re2Tc5Os.

a b c (Å): 5.500 5.499 5.500
angles (deg): 120.03 120.03 89.94
Fractional coordinates of all 8 atoms:
Re: 0.278 0.778 0.500
Re: 0.778 0.278 0.500
Tc: 0.280 0.280 0.504
Tc: 0.280 0.776 0.000
Tc: 0.776 0.280 0.000
Tc: 0.776 0.776 0.496
Tc: 0.279 0.280 0.000
Os: 0.776 0.776 0.000

## Properties
Total energy in eV/atom: -10.936
DFT formation energy in eV per atom: 0.058
Crystal system: tetragonal

=====

The following is a DFT calculation (PBE) of an optimized crystal structure of CaSc2S4.

a b c (Å): 3.739 6.408 12.786
angles (deg): 90.00 90.00 106.96
Fractional coordinates of all 14 atoms:
Ca: 0.612 0.223 0.750
Ca: 0.388 0.777 0.250
Sc: 0.134 0.269 0.431
Sc: 0.866 0.731 0.931
Sc: 0.134 0.269 0.069
Sc: 0.866 0.731 0.569
S: 0.770 0.541 0.114
S: 0.770 0.541 0.386
S: 0.230 0.459 0.886
S: 0.230 0.459 0.614
S: 0.946 0.892 0.750
S: 0.054 0.108 0.250
S: 0.500 0.000 0.000
S: 0.500 0.000 0.500

## Properties
Total energy in eV/atom: -6.426
Energy above the lowest structure with this stoichiometry in meV/atom: 10
Raw formation energy in meV per atom: -1972.3
Crystal system: orthorhombic

=====

The following is a DFT calculation (PBE) of an optimized crystal structure of SbPb2Se.

a b c (Å): 5.327 5.327 5.327
angles (deg): 113.36 113.36 101.94
Fractional coordinates of all 4 atoms:
Pb: 0.000 0.000 0.000
Pb: 0.500 0.500 0.000
Sb: 0.250 0.750 0.500
Se: 0.750 0.250 0.500

## Properties
Total energy in eV/atom: -3.809
Energy above the lowest structure with this stoichiometry in meV/atom: 157
Raw formation energy in meV per atom: -52.6
Crystal system: tetragonal

=====

The following is a DFT calculation (PBE) of an optimized crystal structure of Mg2BiAu.

a b c (Å): 4.207 4.583 4.583
angles (deg): 90.00 90.00 90.00
Fractional coordinates of all 4 atoms:
Mg: 0.000 0.000 0.500
Mg: 0.000 0.500 0.000
Au: 0.500 0.000 0.000
Bi: 0.500 0.500 0.500

## Properties
Total energy in eV/atom: -2.853
DFT formation energy in eV per atom: -0.266
Crystal system: tetragonal

=====

total energy of number 5 (LiAcEuRu)? -6.371 eV/atom

=====

Which of these has the highest total energy? Mg2BiAu

=====

What is the total energy in the sixth record? -8.094 eV/atom